# 1
SrEuSn | PBE-GGA | relaxed

Lattice parameters (Å, degrees): 4.0491 5.4980 5.4980 120.00 90.00 90.00
Sites, in units of the cell vectors:
Sn (0.6968, 0.6667, 0.3333)
Sr (0.3689, 0.3333, 0.6667)
Eu (0.9344, 0.0000, 0.0000)

Spin magnetization ... 7.2 μB/f.u.
DOS(E_F) ... 2.819 states/eV per atom
ΔH_f (0 K) ... -40 kJ per mole of atoms

---

# 2
SrY2Zn | PBE-GGA | relaxed

Lattice parameters (Å, degrees): 10.9764 10.9764 10.9764 19.80 19.80 19.80
Sites, in units of the cell vectors:
Sr (0.7500, 0.7500, 0.7500)
Y (0.9801, 0.9801, 0.9801)
Y (0.5199, 0.5199, 0.5199)
Zn (0.2500, 0.2500, 0.2500)

Spin magnetization ... 0.6 μB/f.u.
DOS(E_F) ... 1.243 states/eV per atom
ΔH_f (0 K) ... 3 kJ per mole of atoms

---

# 3
TlTc2Au | PBE-GGA | relaxed

Lattice parameters (Å, degrees): 2.9387 4.2759 5.8099 90.00 90.00 90.00
Sites, in units of the cell vectors:
Au (0.5000, 0.5000, 0.7500)
Tl (0.5000, 0.5000, 0.2500)
Tc (0.0000, 0.0000, 0.9485)
Tc (0.0000, 0.0000, 0.5515)

Spin magnetization ... 0.0 μB/f.u.
DOS(E_F) ... 1.063 states/eV per atom
ΔH_f (0 K) ... 63 kJ per mole of atoms
E above lowest polymorph ... 380.8 meV per atom

---

# 4
Ba3Na2Ni2 | PBE-GGA | relaxed

Lattice parameters (Å, degrees): 4.2983 6.2525 11.8425 75.75 79.54 69.88
Sites, in units of the cell vectors:
Ba (0.6635, 0.4344, 0.2400)
Ba (0.3365, 0.5656, 0.7600)
Ba (0.0000, 0.0000, 0.0000)
Ni (0.7345, 0.5558, 0.9748)
Ni (0.2655, 0.4442, 0.0252)
Na (0.1216, 0.1950, 0.5621)
Na (0.8784, 0.8050, 0.4379)

Spin magnetization ... 0.0 μB/f.u.
DOS(E_F) ... 0.892 states/eV per atom
ΔH_f (0 K) ... 5 kJ per mole of atoms